InPbSe3 after structural relaxation. Source: the Alexandria database, functional PBE-GGA.

Geometry as POSCAR:
```
InPbSe3
1.0
5.2767 0.0000 0.0000
0.0000 5.2767 0.0000
0.0000 0.0000 5.2767
Se Pb In
3 1 1
direct
0.0000 0.5000 0.0000
0.0000 0.0000 0.5000
0.5000 0.0000 0.0000
0.5000 0.5000 0.5000
0.0000 0.0000 0.0000
```

Computed properties:
The symmetry is No. 221. The relative energy among the computed polymorphs comes out at 1.73 eV/f.u. The value obtained for the volume is 147 Å³ per cell. The value obtained for the uncorrected formation energy is -0.004 eV per atom.

=====

AlHSe2 after structural relaxation. Source: the Alexandria database, functional PBE-GGA.

Geometry as POSCAR:
```
AlHSe2
1.0
7.3988 -0.0007 0.0459
0.0136 3.8503 0.0049
-2.8838 -1.9128 7.1544
Al Se H
2 4 2
direct
0.8892 0.5134 0.9898
0.0068 0.8773 0.7174
0.2416 0.7739 0.5799
0.6395 0.5669 0.1107
0.1119 0.0500 0.0620
0.7840 0.3444 0.6447
0.7128 0.2722 0.2034
0.3281 0.1536 0.6720
```

Computed properties:
The symmetry is No. 1. The relative energy among the computed polymorphs comes out at 0.06 eV/f.u. The value obtained for the volume is 204 Å³ per cell.

=====

TaZnHg2 after structural relaxation. Source: the Alexandria database, functional PBE-GGA.

Geometry as POSCAR:
```
TaZnHg2
1.0
-2.6895 0.7698 -1.0151
0.5574 -2.3757 -3.2783
-2.6072 -4.9568 3.1488
Ta Zn Hg
1 1 2
direct
0.0000 0.0000 0.5257
0.5000 0.5000 0.7224
0.5000 0.5000 0.2706
0.0000 0.0000 0.9812
```

Computed properties:
The symmetry is No. 25. The value obtained for the electronic total energy is -3.0615 eV per atom. The value obtained for the volume is 78 Å³ per cell.

=====

La4TePtCl2 after structural relaxation. Source: the Alexandria database, functional PBE-GGA.

Geometry as POSCAR:
```
La4TePtCl2
1.0
4.2403 0.0000 0.0000
0.0000 7.2818 -0.0466
0.0000 2.6777 7.5534
Cl La Te Pt
2 4 1 1
direct
0.5000 0.0000 0.5000
0.0000 0.0000 0.0000
0.0000 0.7319 0.7806
0.0000 0.2681 0.2194
0.5000 0.7654 0.2263
0.5000 0.2346 0.7737
0.0000 0.5000 0.5000
0.5000 0.5000 0.0000
```

Computed properties:
The symmetry is No. 10. The value obtained for the volume is 234 Å³ per cell. The value obtained for the uncorrected formation energy is -1.484 eV per atom.

=====

Pr3Y4Ho after structural relaxation. Source: the Alexandria database, functional PBE-GGA.

Geometry as POSCAR:
```
Pr3Y4Ho
1.0
3.3924 0.0000 0.8789
1.1899 8.6061 2.3938
-0.5048 -1.0586 8.9351
Y Pr Ho
4 3 1
direct
0.6339 0.1119 0.6202
0.6339 0.6202 0.1119
0.3661 0.3798 0.8881
0.3661 0.8881 0.3798
0.7573 0.2427 0.2427
0.0000 0.5000 0.5000
0.2427 0.7573 0.7573
0.5000 0.0000 0.0000
```

Computed properties:
The symmetry is No. 71. The relative energy among the computed polymorphs comes out at 0.88 eV/f.u. The value obtained for the volume is 272 Å³ per cell.

=====

TaTi2Se4 after structural relaxation. Source: the Alexandria database, functional PBE-GGA.

Geometry as POSCAR:
```
TaTi2Se4
1.0
3.4505 0.0000 0.0000
0.0000 6.5489 -0.0945
-1.7252 -3.2866 6.1916
Ti Se Ta
2 4 1
direct
0.2524 0.2018 0.5048
0.7476 0.7982 0.4952
0.8910 0.2260 0.7821
0.3625 0.6889 0.7250
0.1090 0.7740 0.2179
0.6375 0.3111 0.2750
0.0000 0.0000 0.0000
```

Computed properties:
The symmetry is No. 12. The value obtained for the volume is 139 Å³ per cell. The value obtained for the uncorrected formation energy is -0.952 eV per atom.

=====

Pr2Sb4PdPt3 after structural relaxation. Source: the Alexandria database, functional PBE-GGA.

Geometry as POSCAR:
```
Pr2Sb4PdPt3
1.0
4.6726 0.0000 0.0000
0.0000 4.6726 0.0000
0.0000 0.0000 10.5901
Sb Pr Pt Pd
4 2 3 1
direct
0.0000 0.0000 0.0000
0.0000 0.5000 0.3730
0.5000 0.0000 0.6270
0.5000 0.5000 0.0000
0.5000 0.0000 0.2620
0.0000 0.5000 0.7380
0.0000 0.0000 0.5000
0.5000 0.0000 0.8732
0.0000 0.5000 0.1268
0.5000 0.5000 0.5000
```

Computed properties:
The symmetry is No. 115. The value obtained for the volume is 231 Å³ per cell. The value obtained for the uncorrected formation energy is -0.845 eV per atom.

=====

Sr2CeSb3 after structural relaxation. Source: the Alexandria database, functional PBE-GGA.

Geometry as POSCAR:
```
Sr2CeSb3
1.0
-0.6030 0.6272 4.4353
6.0075 -2.3794 1.1532
0.0400 7.5249 -3.3617
Sb Ce Sr
3 1 2
direct
0.3505 0.3505 0.7010
0.0000 0.0000 0.0000
0.6495 0.6495 0.2990
0.0000 0.5000 0.0000
0.6743 0.1743 0.3487
0.3257 0.8257 0.6513
```

Computed properties:
The symmetry is No. 71. The value obtained for the volume is 214 Å³ per cell. The value obtained for the uncorrected formation energy is -0.895 eV per atom.

=====

LaYOs3 after structural relaxation. Source: the Alexandria database, functional PBE-GGA.

Geometry as POSCAR:
```
LaYOs3
1.0
4.8747 0.0000 0.0000
0.0000 4.8747 0.0000
0.0000 0.0000 4.8747
Os La Y
3 1 1
direct
0.5000 0.0000 0.0000
0.0000 0.0000 0.5000
0.0000 0.5000 0.0000
0.0000 0.0000 0.0000
0.5000 0.5000 0.5000
```

Computed properties:
The symmetry is No. 221. The relative energy among the computed polymorphs comes out at 0.12 eV/f.u. The value obtained for the volume is 116 Å³ per cell.

=====

MgAlIn after structural relaxation. Source: the Alexandria database, functional PBE-GGA.

Geometry as POSCAR:
```
MgAlIn
1.0
-0.5107 1.9099 5.2778
2.9456 -3.8886 2.9984
2.1716 4.9213 1.6700
In Al Mg
2 2 2
direct
0.0022 0.7082 0.6286
0.1892 0.0197 0.1271
0.5972 0.5116 0.5274
0.0974 0.5118 0.0268
0.5042 0.0099 0.4321
0.6948 0.3145 0.9276
```

Computed properties:
The symmetry is No. 8. The value obtained for the electronic total energy is -2.6308 eV per atom. The value obtained for the volume is 135 Å³ per cell.

=====

KOsPb2O8 after structural relaxation. Source: the Alexandria database, functional PBE-GGA.

Geometry as POSCAR:
```
KOsPb2O8
1.0
5.2388 -0.2259 -0.0510
-0.1727 4.8145 0.1673
-0.0615 0.2699 7.8987
O Pb K Os
8 2 1 1
direct
0.1180 0.7648 0.1756
0.6901 0.7491 0.9808
0.5023 0.1417 0.4992
0.1570 0.8164 0.8399
0.3099 0.2509 0.0192
0.4977 0.8583 0.5008
0.8430 0.1836 0.1601
0.8820 0.2352 0.8244
0.5109 0.5218 0.2202
0.4891 0.4782 0.7798
0.0000 0.0000 0.5000
0.0000 0.0000 0.0000
```

Computed properties:
The symmetry is No. 2. The value obtained for the volume is 199 Å³ per cell. The value obtained for the uncorrected formation energy is -0.935 eV per atom.

=====

GdSnPt4 after structural relaxation. Source: the Alexandria database, functional PBE-GGA.

Geometry as POSCAR:
```
GdSnPt4
1.0
-4.0306 -3.6262 0.2185
0.8878 -5.1372 -1.5047
0.0954 -3.9412 3.7284
Sn Pt Gd
1 4 1
direct
0.0000 0.0000 0.0000
0.6251 0.1246 0.6251
0.6251 0.6251 0.1246
0.6251 0.6251 0.6251
0.1246 0.6251 0.6251
0.2500 0.2500 0.2500
```

Computed properties:
The symmetry is No. 216. The value obtained for the electronic total energy is -7.8091 eV per atom. The value obtained for the volume is 113 Å³ per cell.

=====

SrNiSbTe2 after structural relaxation. Source: the Alexandria database, functional PBE-GGA.

Geometry as POSCAR:
```
SrNiSbTe2
1.0
-3.7014 2.7848 2.9757
-3.9630 -1.5211 -3.5059
-0.8206 -3.8812 2.6115
Ni Sr Sb Te
1 1 1 2
direct
0.0000 0.0000 0.0000
0.5000 0.5000 0.5000
0.0000 0.0000 0.5000
0.5000 0.0000 0.0000
0.0000 0.5000 0.0000
```

Computed properties:
The symmetry is No. 123. The relative energy among the computed polymorphs comes out at 0.00 eV/f.u. The value obtained for the volume is 144 Å³ per cell. The value obtained for the uncorrected formation energy is -0.440 eV per atom.

=====

PdSI2N after structural relaxation. Source: the Alexandria database, functional PBE-GGA.

Geometry as POSCAR:
```
PdSI2N
1.0
5.8996 0.0000 0.0000
0.0000 5.8996 0.0000
0.0000 0.0000 3.3091
S I Pd N
1 2 1 1
direct
0.0000 0.0000 0.0000
0.0000 0.5000 0.0000
0.5000 0.0000 0.0000
0.5000 0.5000 0.5000
0.0000 0.0000 0.5000
```

Computed properties:
The symmetry is No. 123. The relative energy among the computed polymorphs comes out at 0.00 eV/f.u. The value obtained for the volume is 115 Å³ per cell. The value obtained for the uncorrected formation energy is 0.931 eV per atom.

=====

Co2TcIr after structural relaxation. Source: the Alexandria database, functional PBE-GGA.

Geometry as POSCAR:
```
Co2TcIr
1.0
-4.6608 -4.4914 -5.5762
-3.6420 -6.5168 -4.1542
-5.8540 -5.2690 -3.3104
Co Tc Ir
2 1 1
direct
0.2536 0.2536 0.2536
0.9967 0.9967 0.9967
0.7479 0.7479 0.7479
0.5018 0.5018 0.5018
```

Computed properties:
The symmetry is No. 160. The relative energy among the computed polymorphs comes out at 0.45 eV/f.u. The value obtained for the volume is 52 Å³ per cell.

=====

Pr4Sm5Y3 after structural relaxation. Source: the Alexandria database, functional PBE-GGA.

Geometry as POSCAR:
```
Pr4Sm5Y3
1.0
6.0141 0.0000 0.0000
3.0070 7.7594 -2.6967
3.0070 -0.9084 9.3350
Pr Y Sm
4 3 5
direct
0.1387 0.7773 0.9453
0.8380 0.9444 0.3795
0.8613 0.2227 0.0547
0.1620 0.0556 0.6205
0.0000 0.5000 0.5000
0.4797 0.3109 0.7297
0.5203 0.6891 0.2703
0.5000 0.5000 0.5000
0.2171 0.4542 0.1116
0.7829 0.5458 0.8884
0.3712 0.0565 0.2011
0.6288 0.9435 0.7989
```

Computed properties:
The symmetry is No. 12. The value obtained for the electronic total energy is -4.9605 eV per atom. The value obtained for the volume is 421 Å³ per cell.

=====

Rb2BTe after structural relaxation. Source: the Alexandria database, functional PBE-GGA.

Geometry as POSCAR:
```
Rb2BTe
1.0
0.0000 4.2175 4.2175
4.2175 0.0000 4.2175
4.2175 4.2175 0.0000
Rb B Te
2 1 1
direct
0.7500 0.7500 0.7500
0.2500 0.2500 0.2500
0.0000 0.0000 0.0000
0.5000 0.5000 0.5000
```

Computed properties:
The symmetry is No. 225. The relative energy among the computed polymorphs comes out at 0.00 eV/f.u. The value obtained for the volume is 150 Å³ per cell. The value obtained for the uncorrected formation energy is 0.590 eV per atom.

=====

LaGeCl6 after structural relaxation. Source: the Alexandria database, functional PBE-GGA.

Geometry as POSCAR:
```
LaGeCl6
1.0
-0.8637 5.2827 -3.8316
-5.9670 2.4169 1.5730
-0.3855 4.7900 5.1388
Cl Ge La
6 1 1
direct
0.2744 0.5780 0.2810
0.7256 0.1410 0.2810
0.2744 0.8590 0.7190
0.2669 0.2581 0.0000
0.7256 0.4220 0.7190
0.7331 0.7419 0.0000
0.5000 0.5000 0.0000
0.0000 0.0000 0.0000
```

Computed properties:
The symmetry is No. 12. The value obtained for the volume is 261 Å³ per cell. The value obtained for the uncorrected formation energy is -1.455 eV per atom.

=====

CrPb after structural relaxation. Source: the Alexandria database, functional PBE-GGA.

Geometry as POSCAR:
```
CrPb
1.0
-0.6420 3.0790 1.3993
-0.2791 -1.4677 3.1014
3.7267 0.5141 0.5786
Pb Cr
1 1
direct
0.5000 0.5000 0.5000
0.0000 0.0000 0.0000
```

Computed properties:
The symmetry is No. 123. The value obtained for the electronic total energy is -6.0334 eV per atom. The value obtained for the volume is 45 Å³ per cell.

=====

K2Mn3 after structural relaxation. Source: the Alexandria database, functional PBE-GGA.

Geometry as POSCAR:
```
K2Mn3
1.0
-7.9783 2.0137 6.0995
-3.4316 5.9030 6.7183
-4.6516 2.5120 -2.8694
Mn K
6 4
direct
0.8858 0.3556 0.7979
0.4521 0.2894 0.3642
0.9606 0.7979 0.3556
0.1060 0.3940 0.3940
0.8560 0.1440 0.1440
0.8944 0.3642 0.2894
0.2881 0.8055 0.3969
0.8531 0.7405 0.9619
0.5095 0.3969 0.8055
0.4445 0.9619 0.7405
```

Computed properties:
The symmetry is No. 43. The relative energy among the computed polymorphs comes out at 0.00 eV/f.u. The value obtained for the volume is 302 Å³ per cell.